A plane-wave DFT calculation with PBE with a Hubbard U was carried out for crystalline CoPt2O4 at its relaxed geometry.

The crystal system is tetragonal. Its uncorrected energy is -5.553 eV/atom. The volume is 98.5 Å³ per cell. The density of states at the Fermi level is 0.51 states/eV per atom.

The structure belongs to space group P4/mmm (No. 123); the cell edges are 5.7433, 5.7433 and 2.9874 Å and the angles 90.00°, 90.00° and 90.00°. The inequivalent atoms are Co at (0.0000, 0.0000, 0.0000), Pt at (0.0000, 0.5000, 0.0000) and O at (0.2206, 0.2206, 0.0000).